No. 1
A geometry-optimized Li4Co structure, computed with PBE-GGA.

Lattice parameters (Å, degrees): 4.702 4.702 4.702 90.00 90.00 90.00
Site moments in Bohr magnetons follow the coordinates.
Sites, in units of the cell vectors:
Li  0.000  0.000  0.000  -0.01
Li  0.500  0.500  0.000  -0.02
Li  0.500  0.000  0.500  -0.02
Co  0.500  0.500  0.500  1.37
Li  0.000  0.500  0.500  -0.02

Summary:
magnetization	1.11	Bohr magnetons per cell
N(E_F)	6.0	states/eV per cell
ΔE to the lowest computed polymorph	62	meV/atom
energy of formation from the pure elements	0.520	eV/atom



No. 2
A geometry-optimized FePtI2 structure, computed with PBE-GGA.

Lattice parameters (Å, degrees): 6.106 6.106 7.512 66.02 66.02 90.00
Site moments in Bohr magnetons follow the coordinates.
Sites, in units of the cell vectors:
Pt  0.000  0.000  0.000  0.18
I  0.875  0.866  0.750  0.06
Fe  0.250  0.750  0.500  2.92
I  0.616  0.125  0.250  0.06
I  0.375  0.384  0.750  0.06
Pt  0.750  0.250  0.500  0.18
I  0.134  0.625  0.250  0.06
Fe  0.500  0.500  0.000  2.92

Summary:
magnetization	6.98	Bohr magnetons per cell
N(E_F)	10.9	states/eV per cell
ΔE to the lowest computed polymorph	0	meV/atom
E_form (uncorrected)	0.41	eV/atom



No. 3
A geometry-optimized U2TcGe structure, computed with PBE-GGA.

Lattice parameters (Å, degrees): 2.990 2.990 9.877 81.29 81.29 60.00
Sites, in units of the cell vectors:
Tc  0.500  0.500  0.500
Ge  0.000  0.000  0.000
U  0.246  0.246  0.263
U  0.754  0.754  0.737

Summary:
magnetization	0.00	Bohr magnetons per cell
N(E_F)	7.1	states/eV per cell
ΔE to the lowest computed polymorph	248	meV/atom
energy of formation from the pure elements	0.044	eV/atom



No. 4
A geometry-optimized Li2InSb2 structure, computed with PBE-GGA.

Lattice parameters (Å, degrees): 8.805 8.805 3.030 90.00 90.00 90.00
Sites, in units of the cell vectors:
Li  0.124  0.376  0.000
Sb  0.671  0.829  0.500
Li  0.624  0.124  0.000
In  0.000  0.000  0.000
Li  0.376  0.876  0.000
Sb  0.171  0.671  0.500
Sb  0.829  0.329  0.500
Sb  0.329  0.171  0.500
In  0.500  0.500  0.000
Li  0.876  0.624  0.000

Summary:
magnetization	0.00	Bohr magnetons per cell
N(E_F)	2.8	states/eV per cell
ΔE to the lowest computed polymorph	45	meV/atom
E_form (uncorrected)	-0.27	eV/atom



No. 5
A geometry-optimized EuYGaCu structure, computed with PBE-GGA.

Lattice parameters (Å, degrees): 5.109 5.109 5.109 60.00 60.00 60.00
Site moments in Bohr magnetons follow the coordinates.
Sites, in units of the cell vectors:
Y  0.750  0.750  0.750  -0.03
Eu  0.250  0.250  0.250  6.75
Cu  0.000  0.000  0.000  -0.01
Ga  0.500  0.500  0.500  -0.03

Summary:
magnetization	6.81	Bohr magnetons per cell
N(E_F)	7.2	states/eV per cell
energy of formation from the pure elements	-0.314	eV/atom



No. 6
A geometry-optimized CaNbRh2 structure, computed with PBE-GGA.

Lattice parameters (Å, degrees): 7.258 7.258 5.971 52.57 52.57 90.00
Sites, in units of the cell vectors:
Nb  0.000  0.000  0.000
Ca  0.250  0.750  0.500
Rh  0.083  0.625  0.250
Rh  0.375  0.333  0.750
Nb  0.750  0.250  0.500
Ca  0.500  0.500  0.000
Rh  0.667  0.125  0.250
Rh  0.875  0.917  0.750

Summary:
magnetization	0.00	Bohr magnetons per cell
N(E_F)	4.8	states/eV per cell
energy of formation from the pure elements	0.012	eV/atom



No. 7
A geometry-optimized Zn2IrRh structure, computed with PBE-GGA.

Lattice parameters (Å, degrees): 2.760 3.837 5.386 90.00 90.00 90.00
Sites, in units of the cell vectors:
Zn  0.500  0.500  0.256
Rh  0.500  0.500  0.756
Zn  0.000  0.000  0.995
Ir  0.000  0.000  0.494

Summary:
magnetization	0.00	Bohr magnetons per cell
N(E_F)	4.0	states/eV per cell
energy of formation from the pure elements	-0.140	eV/atom



No. 8
A geometry-optimized CaZr2Cl structure, computed with PBE-GGA.

Lattice parameters (Å, degrees): 6.610 6.610 3.279 90.00 90.00 131.48
Sites, in units of the cell vectors:
Cl  0.000  0.500  0.500
Zr  0.000  0.000  0.000
Ca  0.500  0.000  0.500
Zr  0.500  0.500  0.000

Summary:
magnetization	0.00	Bohr magnetons per cell
N(E_F)	4.0	states/eV per cell
ΔE to the lowest computed polymorph	624	meV/atom
E_form (uncorrected)	0.15	eV/atom



No. 9
A geometry-optimized BaSr2MoN4 structure, computed with PBE-GGA.

Lattice parameters (Å, degrees): 5.980 6.820 8.143 90.00 90.00 90.00
Sites, in units of the cell vectors:
Sr  0.481  0.327  0.256
N  0.400  0.689  0.695
N  0.816  0.789  0.500
N  0.400  0.689  0.305
N  0.900  0.311  0.805
Ba  0.972  0.142  0.500
N  0.900  0.311  0.195
Mo  0.003  0.188  0.000
Mo  0.503  0.812  0.500
N  0.948  0.913  0.000
N  0.448  0.087  0.500
Sr  0.981  0.673  0.756
Ba  0.472  0.858  0.000
N  0.316  0.211  0.000
Sr  0.481  0.327  0.744
Sr  0.981  0.673  0.244

Summary:
magnetization	0.00	Bohr magnetons per cell
N(E_F)	0.0	states/eV per cell
E_form (uncorrected)	-0.85	eV/atom



No. 10
A geometry-optimized Ho2ScZn5 structure, computed with PBE-GGA.

Lattice parameters (Å, degrees): 4.707 4.707 7.694 107.81 107.81 90.00
Sites, in units of the cell vectors:
Zn  0.500  0.500  0.000
Ho  0.736  0.736  0.472
Zn  0.891  0.391  0.781
Ho  0.264  0.264  0.528
Zn  0.109  0.609  0.219
Zn  0.609  0.109  0.219
Zn  0.391  0.891  0.781
Sc  0.000  0.000  0.000

Summary:
magnetization	0.00	Bohr magnetons per cell
N(E_F)	2.9	states/eV per cell
energy of formation from the pure elements	-0.308	eV/atom



No. 11
A geometry-optimized KLaP2 structure, computed with PBE-GGA.

Lattice parameters (Å, degrees): 3.467 3.467 8.552 90.00 90.00 90.06
Sites, in units of the cell vectors:
K  0.500  0.500  0.250
La  0.500  0.500  0.750
P  0.000  0.000  0.524
P  0.000  0.000  0.976

Summary:
magnetization	0.00	Bohr magnetons per cell
N(E_F)	1.9	states/eV per cell
ΔE to the lowest computed polymorph	357	meV/atom
energy of formation from the pure elements	-0.511	eV/atom



No. 12
A geometry-optimized Te2PdRuI structure, computed with PBE-GGA.

Lattice parameters (Å, degrees): 5.282 5.282 5.401 90.00 90.00 90.00
Site moments in Bohr magnetons follow the coordinates.
Sites, in units of the cell vectors:
Te  0.000  0.500  0.000  0.13
Ru  0.500  0.500  0.500  2.73
Pd  0.000  0.000  0.000  0.03
I  0.000  0.000  0.500  0.11
Te  0.500  0.000  0.000  0.13

Summary:
magnetization	3.65	Bohr magnetons per cell
N(E_F)	7.4	states/eV per cell
ΔE to the lowest computed polymorph	329	meV/atom
E_form (uncorrected)	1.02	eV/atom



No. 13
A geometry-optimized ReTeMo2 structure, computed with PBE-GGA.

Lattice parameters (Å, degrees): 4.627 4.627 3.142 90.00 90.00 90.00
Sites, in units of the cell vectors:
Re  0.500  0.000  0.500
Mo  0.000  0.000  0.000
Mo  0.500  0.500  0.000
Te  0.000  0.500  0.500

Summary:
magnetization	0.01	Bohr magnetons per cell
N(E_F)	3.9	states/eV per cell
E_form (uncorrected)	0.48	eV/atom



No. 14
A geometry-optimized LiErSnI6 structure, computed with PBE-GGA.

Lattice parameters (Å, degrees): 7.626 7.626 14.051 90.00 90.00 120.00
Sites, in units of the cell vectors:
Li  0.667  0.333  0.750
I  0.351  0.001  0.628
I  0.001  0.351  0.128
Sn  0.000  0.000  0.500
I  0.651  0.649  0.628
I  0.999  0.349  0.628
I  0.349  0.351  0.372
I  0.001  0.651  0.372
Li  0.333  0.667  0.250
I  0.351  0.349  0.872
Sn  0.000  0.000  0.000
Er  0.333  0.667  0.750
I  0.349  0.999  0.128
Er  0.667  0.333  0.250
I  0.649  0.999  0.372
I  0.651  0.001  0.872
I  0.999  0.649  0.872
I  0.649  0.651  0.128

Summary:
magnetization	0.00	Bohr magnetons per cell
N(E_F)	0.0	states/eV per cell
E_form (uncorrected)	-1.01	eV/atom



No. 15
A geometry-optimized KPaRh4S8 structure, computed with PBE-GGA.

Lattice parameters (Å, degrees): 7.490 7.490 7.406 59.62 59.62 60.00
Site moments in Bohr magnetons follow the coordinates.
Sites, in units of the cell vectors:
K  0.376  0.376  0.872  0.00
S  0.737  0.737  0.289  0.06
S  0.239  0.239  0.702  0.02
S  0.820  0.239  0.702  0.02
Rh  0.501  0.003  0.493  0.08
S  0.737  0.236  0.289  0.06
Rh  0.003  0.501  0.493  0.08
Pa  0.990  0.990  0.031  0.15
Rh  0.626  0.626  0.123  1.01
S  0.766  0.766  0.702  0.01
S  0.239  0.820  0.702  0.02
S  0.226  0.226  0.322  0.06
Rh  0.003  0.003  0.493  0.08
S  0.236  0.737  0.289  0.06

Summary:
magnetization	2.09	Bohr magnetons per cell
N(E_F)	5.8	states/eV per cell
E_form (uncorrected)	-0.64	eV/atom



No. 16
A geometry-optimized Sc5ZnRh4 structure, computed with PBE-GGA.

Lattice parameters (Å, degrees): 3.227 3.227 16.536 90.00 90.00 90.00
Sites, in units of the cell vectors:
Rh  0.000  0.000  0.598
Rh  0.000  0.000  0.402
Sc  0.500  0.500  0.892
Sc  0.500  0.500  0.500
Sc  0.500  0.500  0.697
Rh  0.000  0.000  0.796
Sc  0.500  0.500  0.108
Zn  0.000  0.000  0.000
Sc  0.500  0.500  0.303
Rh  0.000  0.000  0.204

Summary:
magnetization	0.00	Bohr magnetons per cell
N(E_F)	5.8	states/eV per cell
energy of formation from the pure elements	-0.890	eV/atom



No. 17
A geometry-optimized Ac12La2Nd5 structure, computed with PBE-GGA.

Lattice parameters (Å, degrees): 10.301 9.912 9.267 91.11 90.00 121.31
Sites, in units of the cell vectors:
Ac  0.969  0.301  0.234
Nd  0.229  0.458  0.567
La  0.335  0.000  0.000
Nd  0.771  0.542  0.433
Nd  0.299  0.599  0.971
Ac  0.667  0.699  0.766
Ac  0.031  0.699  0.766
Ac  0.825  0.258  0.671
Ac  0.567  0.742  0.329
Ac  0.918  0.837  0.124
La  0.665  0.000  0.000
Ac  0.333  0.301  0.234
Ac  0.082  0.163  0.876
Nd  0.701  0.401  0.029
Ac  0.175  0.742  0.329
Nd  0.000  0.000  0.500
Ac  0.564  0.128  0.336
Ac  0.433  0.258  0.671
Ac  0.436  0.872  0.664

Summary:
magnetization	0.00	Bohr magnetons per cell
N(E_F)	28.8	states/eV per cell
ΔE to the lowest computed polymorph	18	meV/atom
energy of formation from the pure elements	0.139	eV/atom



No. 18
A geometry-optimized La2Zn5Ag5 structure, computed with PBE-GGA.

Lattice parameters (Å, degrees): 4.558 5.448 9.698 90.00 90.00 90.00
Sites, in units of the cell vectors:
Zn  0.500  0.250  0.746
Zn  0.500  0.250  0.254
Ag  0.500  0.000  0.000
Zn  0.500  0.750  0.254
Zn  0.500  0.500  0.500
Ag  0.000  0.000  0.824
La  0.000  0.500  0.000
La  0.000  0.000  0.500
Ag  0.000  0.000  0.176
Ag  0.000  0.500  0.333
Zn  0.500  0.750  0.746
Ag  0.000  0.500  0.667

Summary:
magnetization	0.00	Bohr magnetons per cell
N(E_F)	6.5	states/eV per cell
ΔE to the lowest computed polymorph	0	meV/atom
energy of formation from the pure elements	-0.261	eV/atom



No. 19
A geometry-optimized LiLa2Re structure, computed with PBE-GGA.

Lattice parameters (Å, degrees): 3.560 3.562 9.333 67.56 90.00 90.00
Sites, in units of the cell vectors:
Re  0.500  0.750  0.750
La  0.000  0.047  0.951
Li  0.500  0.250  0.250
La  0.000  0.453  0.549

Summary:
magnetization	0.00	Bohr magnetons per cell
N(E_F)	3.3	states/eV per cell
energy of formation from the pure elements	0.174	eV/atom



No. 20
A geometry-optimized Sr5Zn2Cd structure, computed with PBE-GGA.

Lattice parameters (Å, degrees): 8.579 8.579 10.146 115.01 115.01 90.00
Sites, in units of the cell vectors:
Zn  0.888  0.612  0.000
Zn  0.612  0.112  0.000
Sr  0.027  0.527  0.713
Sr  0.500  0.500  0.000
Sr  0.973  0.473  0.287
Cd  0.750  0.750  0.500
Zn  0.112  0.388  0.000
Sr  0.687  0.187  0.713
Sr  0.187  0.027  0.713
Sr  0.000  0.000  0.000
Cd  0.250  0.250  0.500
Sr  0.473  0.313  0.287
Sr  0.527  0.687  0.713
Sr  0.813  0.973  0.287
Zn  0.388  0.888  0.000
Sr  0.313  0.813  0.287

Summary:
magnetization	0.00	Bohr magnetons per cell
N(E_F)	19.3	states/eV per cell
energy of formation from the pure elements	-0.189	eV/atom